{
  "formula": "V2RuN",
  "functional": "PBE-GGA",
  "state": "optimized geometry",
  "lattice_angstrom": [[2.849, 0.000, 0.000], [1.425, 2.468, 0.000], [1.425, 0.823, 6.495]],
  "species": ["N", "V", "V", "Ru"],
  "fractional_positions": [[0.000, 0.000, 0.000], [0.724, 0.724, 0.828], [0.276, 0.276, 0.172], [0.500, 0.500, 0.500]],
  "spacegroup": "No. 166",
  "e_form_raw_mev_per_atom": -690
}

***

{
  "formula": "VRuN2",
  "functional": "PBE-GGA",
  "state": "optimized geometry",
  "lattice_angstrom": [[-1.718, -2.532, 2.119], [-2.616, 1.067, 2.422], [-3.571, -0.839, -0.629]],
  "species": ["V", "N", "N", "Ru"],
  "fractional_positions": [[0.000, 0.000, 0.000], [0.250, 0.250, 0.250], [0.750, 0.750, 0.750], [0.500, 0.500, 0.500]],
  "spacegroup": "No. 225",
  "e_form_raw_mev_per_atom": 407
}

***

{
  "formula": "V2RuN2",
  "functional": "PBE-GGA",
  "state": "optimized geometry",
  "lattice_angstrom": [[-3.046, -2.985, 4.038], [-3.510, -2.112, -4.208], [1.702, -2.178, -0.326]],
  "species": ["V", "V", "V", "V", "Ru", "Ru", "N", "N", "N", "N"],
  "fractional_positions": [[0.359, 0.141, 0.500], [0.141, 0.641, 0.500], [0.641, 0.859, 0.500], [0.859, 0.359, 0.500], [0.500, 0.500, 0.000], [0.000, 0.000, 0.000], [0.343, 0.843, 0.000], [0.657, 0.157, 0.000], [0.843, 0.657, 0.000], [0.157, 0.343, 0.000]],
  "spacegroup": "No. 127",
  "e_form_raw_mev_per_atom": -210
}

***

{
  "formula": "V2RuN",
  "functional": "PBE-GGA",
  "state": "optimized geometry",
  "lattice_angstrom": [[2.846, 0.000, 0.000], [1.423, 2.464, 0.000], [1.423, 0.821, 6.489]],
  "species": ["N", "V", "V", "Ru"],
  "fractional_positions": [[0.667, 0.667, 0.000], [0.059, 0.059, 0.824], [0.276, 0.276, 0.172], [0.498, 0.498, 0.505]],
  "spacegroup": "No. 160",
  "e_form_raw_mev_per_atom": -705
}

***

{
  "formula": "V2RuN2",
  "functional": "PBE-GGA",
  "state": "optimized geometry",
  "lattice_angstrom": [[3.948, 0.000, 0.000], [0.000, 3.948, 0.000], [1.974, 1.974, 3.891]],
  "species": ["V", "V", "Ru", "N", "N"],
  "fractional_positions": [[0.250, 0.750, 0.500], [0.750, 0.250, 0.500], [0.000, 0.000, 0.000], [0.260, 0.260, 0.481], [0.740, 0.740, 0.519]],
  "spacegroup": "No. 139",
  "e_form_raw_mev_per_atom": -386
}

***

{
  "formula": "VRuN2",
  "functional": "PBE-GGA",
  "state": "optimized geometry",
  "lattice_angstrom": [[1.621, 0.000, 6.239], [-0.810, 1.404, 6.239], [-0.810, -1.404, 6.239]],
  "species": ["N", "N", "Ru", "V"],
  "fractional_positions": [[0.895, 0.895, 0.895], [0.105, 0.105, 0.105], [0.000, 0.000, 0.000], [0.500, 0.500, 0.500]],
  "spacegroup": "No. 166",
  "e_form_raw_mev_per_atom": -108
}

***

{
  "formula": "V2RuWN",
  "functional": "PBE-GGA",
  "state": "optimized geometry",
  "lattice_angstrom": [[3.938, 0.000, 0.000], [0.000, 3.938, 0.000], [0.000, 0.000, 4.079]],
  "species": ["Ru", "V", "V", "N", "W"],
  "fractional_positions": [[0.500, 0.500, 0.500], [0.000, 0.500, 0.000], [0.500, 0.000, 0.000], [0.000, 0.000, 0.000], [0.000, 0.000, 0.500]],
  "spacegroup": "No. 123",
  "e_form_raw_mev_per_atom": -379
}

***

{
  "formula": "Zr2VRuN",
  "functional": "PBE-GGA",
  "state": "optimized geometry",
  "lattice_angstrom": [[5.229, 0.000, 0.000], [0.000, 3.690, 0.000], [0.000, 0.000, 5.229]],
  "species": ["N", "Zr", "Zr", "Ru", "V"],
  "fractional_positions": [[0.000, 0.500, 0.000], [0.500, 0.000, 0.000], [0.000, 0.000, 0.500], [0.000, 0.000, 0.000], [0.500, 0.500, 0.500]],
  "spacegroup": "No. 123",
  "e_form_raw_mev_per_atom": 733
}

***

{
  "formula": "Zr2VRuN",
  "functional": "PBE-GGA",
  "state": "optimized geometry",
  "lattice_angstrom": [[4.564, 0.000, 0.000], [0.000, 4.564, 0.000], [0.000, 0.000, 3.753]],
  "species": ["Zr", "Zr", "Ru", "V", "N"],
  "fractional_positions": [[0.500, 0.000, 0.000], [0.000, 0.500, 0.000], [0.500, 0.500, 0.500], [0.000, 0.000, 0.500], [0.000, 0.000, 0.000]],
  "spacegroup": "No. 123",
  "e_form_raw_mev_per_atom": -760
}

***

{
  "formula": "RuWN3",
  "functional": "PBE-GGA",
  "state": "optimized geometry",
  "lattice_angstrom": [[3.928, 0.000, 0.000], [0.000, 3.928, 0.000], [0.000, 0.000, 3.928]],
  "species": ["N", "N", "N", "W", "Ru"],
  "fractional_positions": [[0.000, 0.000, 0.500], [0.000, 0.500, 0.000], [0.500, 0.000, 0.000], [0.000, 0.000, 0.000], [0.500, 0.500, 0.500]],
  "spacegroup": "No. 221",
  "e_form_raw_mev_per_atom": 1035
}

***

{
  "formula": "Ru3WN",
  "functional": "PBE-GGA",
  "state": "optimized geometry",
  "lattice_angstrom": [[4.029, 0.000, 0.000], [0.000, 4.029, 0.000], [0.000, 0.000, 4.029]],
  "species": ["N", "W", "Ru", "Ru", "Ru"],
  "fractional_positions": [[0.000, 0.000, 0.000], [0.500, 0.500, 0.500], [0.000, 0.500, 0.000], [0.000, 0.000, 0.500], [0.500, 0.000, 0.000]],
  "spacegroup": "No. 221",
  "e_form_raw_mev_per_atom": 341
}

***

{
  "formula": "RuWN",
  "functional": "PBE-GGA",
  "state": "optimized geometry",
  "lattice_angstrom": [[2.917, 0.000, 0.000], [0.000, 3.851, 0.000], [-1.458, 0.000, 9.410]],
  "species": ["Ru", "Ru", "W", "W", "N", "N"],
  "fractional_positions": [[0.716, 0.750, 0.432], [0.284, 0.250, 0.568], [0.142, 0.250, 0.283], [0.858, 0.750, 0.717], [0.420, 0.750, 0.840], [0.580, 0.250, 0.160]],
  "spacegroup": "No. 63",
  "e_form_raw_mev_per_atom": 307
}

***

{
  "formula": "RuWN2",
  "functional": "PBE-GGA",
  "state": "optimized geometry",
  "lattice_angstrom": [[0.000, 2.708, 2.708], [2.708, 0.000, 2.708], [2.708, 2.708, 0.000]],
  "species": ["W", "N", "N", "Ru"],
  "fractional_positions": [[0.500, 0.500, 0.500], [0.250, 0.250, 0.250], [0.750, 0.750, 0.750], [0.000, 0.000, 0.000]],
  "spacegroup": "No. 225",
  "e_form_raw_mev_per_atom": 815
}

***

{
  "formula": "RuW2N",
  "functional": "PBE-GGA",
  "state": "optimized geometry",
  "lattice_angstrom": [[2.820, 0.000, 0.000], [1.410, 2.442, 0.000], [1.410, 0.814, 7.452]],
  "species": ["W", "W", "N", "Ru"],
  "fractional_positions": [[0.232, 0.232, 0.304], [0.768, 0.768, 0.696], [0.500, 0.500, 0.500], [0.000, 0.000, 0.000]],
  "spacegroup": "No. 166",
  "e_form_raw_mev_per_atom": 76
}

***

{
  "formula": "RuWN3",
  "functional": "PBE-GGA",
  "state": "optimized geometry",
  "lattice_angstrom": [[-0.247, 3.065, 2.229], [1.468, -1.982, 2.888], [3.494, 1.049, -1.056]],
  "species": ["N", "N", "N", "Ru", "W"],
  "fractional_positions": [[0.000, 0.500, 0.000], [0.000, 0.000, 0.500], [0.500, 0.000, 0.000], [0.000, 0.000, 0.000], [0.500, 0.500, 0.500]],
  "spacegroup": "No. 221",
  "e_form_raw_mev_per_atom": 1654
}

***

{
  "formula": "RuW2N2",
  "functional": "PBE-GGA",
  "state": "optimized geometry",
  "lattice_angstrom": [[-4.371, -3.005, -3.488], [-0.419, -4.530, 4.428], [-2.000, 1.431, 1.274]],
  "species": ["W", "W", "W", "W", "N", "N", "N", "N", "Ru", "Ru"],
  "fractional_positions": [[0.663, 0.837, 0.500], [0.337, 0.163, 0.500], [0.163, 0.663, 0.500], [0.837, 0.337, 0.500], [0.155, 0.345, 0.000], [0.345, 0.845, 0.000], [0.845, 0.655, 0.000], [0.655, 0.155, 0.000], [0.500, 0.500, 0.000], [0.000, 0.000, 0.000]],
  "spacegroup": "No. 127",
  "e_form_raw_mev_per_atom": 561
}

***

{
  "formula": "Ru3WN",
  "functional": "PBE-GGA",
  "state": "optimized geometry",
  "lattice_angstrom": [[-2.991, -3.649, -0.390], [1.741, -0.968, -4.295], [3.231, -2.857, 1.953]],
  "species": ["Ru", "Ru", "Ru", "N", "W"],
  "fractional_positions": [[0.500, 0.000, 0.000], [0.000, 0.000, 0.500], [0.000, 0.500, 0.000], [0.500, 0.500, 0.500], [0.000, 0.000, 0.000]],
  "spacegroup": "No. 221",
  "e_form_raw_mev_per_atom": 2794
}

***

{
  "formula": "RuWN2",
  "functional": "PBE-GGA",
  "state": "optimized geometry",
  "lattice_angstrom": [[-1.325, -6.480, 1.168], [-0.164, -6.553, -1.464], [1.537, -6.482, 0.857]],
  "species": ["W", "N", "N", "Ru"],
  "fractional_positions": [[0.500, 0.500, 0.500], [0.898, 0.898, 0.898], [0.102, 0.102, 0.102], [0.000, 0.000, 0.000]],
  "spacegroup": "No. 166",
  "e_form_raw_mev_per_atom": 180
}

***

{
  "formula": "RuW2N2",
  "functional": "PBE-GGA",
  "state": "optimized geometry",
  "lattice_angstrom": [[4.169, 0.000, 0.000], [0.000, 4.169, 0.000], [2.084, 2.084, 3.694]],
  "species": ["N", "N", "W", "W", "Ru"],
  "fractional_positions": [[0.725, 0.725, 0.550], [0.275, 0.275, 0.450], [0.750, 0.250, 0.500], [0.250, 0.750, 0.500], [0.000, 0.000, 0.000]],
  "spacegroup": "No. 139",
  "e_form_raw_mev_per_atom": 31
}

***

{
  "formula": "Ru2W3N",
  "functional": "PBE-GGA",
  "state": "optimized geometry",
  "lattice_angstrom": [[6.860, 0.000, 0.000], [0.000, 6.860, 0.000], [0.000, 0.000, 6.860]],
  "species": ["W", "W", "W", "W", "W", "W", "W", "W", "W", "W", "W", "W", "Ru", "Ru", "Ru", "Ru", "Ru", "Ru", "Ru", "Ru", "N", "N", "N", "N"],
  "fractional_positions": [[0.125, 0.204, 0.454], [0.546, 0.625, 0.296], [0.375, 0.796, 0.954], [0.875, 0.704, 0.046], [0.796, 0.954, 0.375], [0.704, 0.046, 0.875], [0.296, 0.546, 0.625], [0.954, 0.375, 0.796], [0.625, 0.296, 0.546], [0.454, 0.125, 0.204], [0.204, 0.454, 0.125], [0.046, 0.875, 0.704], [0.564, 0.436, 0.936], [0.064, 0.064, 0.064], [0.436, 0.936, 0.564], [0.186, 0.814, 0.314], [0.936, 0.564, 0.436], [0.686, 0.686, 0.686], [0.314, 0.186, 0.814], [0.814, 0.314, 0.186], [0.125, 0.625, 0.875], [0.875, 0.125, 0.625], [0.375, 0.375, 0.375], [0.625, 0.875, 0.125]],
  "spacegroup": "No. 213",
  "e_form_raw_mev_per_atom": -91
}

***

Respective E_tot values: -38.60; -33.42; -90.43; -38.66; -46.09; -35.48; -50.69; -40.15; -47.62; -42.03; -47.40; -59.27; -35.62; -43.20; -38.94; -98.05; -35.14; -38.16; -51.68; -265.13 eV/cell.